VASP calculation (GGA-PBE) on crystalline Tb6Nd3Ho2Sc at its relaxed geometry.

## Properties
Its space group is C2/m (12). As for the formation energy: 29 meV per atom. The calculation puts the raw total energy at -4.769 eV/atom. For the volume, the calculation gives 383.3 Å³/cell. Its density of states at the Fermi level is 16.53 states/eV/cell.

Unit cell a=6.174 b=6.174 c=11.793 alpha=95.00 beta=95.00 gamma=119.99
Positions (direct):
1 Ho 0.333 0.667 0.000
2 Tb 0.081 0.412 0.243
3 Tb 0.588 0.919 0.757
4 Nd 0.167 0.833 0.500
5 Nd 0.833 0.167 0.500
6 Ho 0.667 0.333 0.000
7 Tb 0.412 0.081 0.243
8 Tb 0.250 0.250 0.756
9 Sc 0.000 0.000 0.000
10 Tb 0.750 0.750 0.244
11 Tb 0.919 0.588 0.757
12 Nd 0.500 0.500 0.500

***

VASP calculation (GGA-PBE) on crystalline Tm5GeTe4 at its relaxed geometry.

## Properties
Its space group is I4/m (87). The calculation puts the raw total energy at -5.153 eV/atom. As for the formation energy without anion corrections: -1.199 eV per atom. For the volume, the calculation gives 276.1 Å³/cell. Its density of states at the Fermi level is 5.28 states/eV/cell.

Unit cell a=6.007 b=7.414 c=7.414 alpha=80.55 beta=66.10 gamma=66.10
Positions (direct):
1 Te 0.194 0.216 0.398
2 Ge 0.002 0.000 0.000
3 Te 0.592 0.602 0.216
4 Te 0.410 0.398 0.784
5 Tm 0.273 0.826 0.630
6 Tm 0.729 0.174 0.370
7 Tm 0.099 0.630 0.174
8 Tm 0.903 0.370 0.826
9 Te 0.808 0.784 0.602
10 Tm 0.502 0.000 0.000

***

VASP calculation (GGA-PBE) on crystalline Sr2SiAg at its relaxed geometry.

## Properties
Its space group is Amm2 (38). The calculation puts the raw total energy at -3.210 eV/atom. As for the formation energy without anion corrections: -0.301 eV per atom. For the volume, the calculation gives 122.2 Å³/cell. Its density of states at the Fermi level is 3.01 states/eV/cell.

Unit cell a=5.989 b=5.989 c=4.635 alpha=90.01 beta=90.01 gamma=47.31
Positions (direct):
1 Si 0.321 0.321 0.125
2 Sr 0.018 0.018 0.125
3 Sr 0.733 0.733 0.625
4 Ag 0.428 0.428 0.625

***

Question: Among the records above, which one has the lowest volume?
Answer: Sr2SiAg

***

Question: Which formula does entry 2 have?
Answer: Tm5GeTe4

***

Question: Among the records above, which one has the highest raw total energy?
Answer: Sr2SiAg

***

Please write out number 3 again, unchanged.
VASP calculation (GGA-PBE) on crystalline Sr2SiAg at its relaxed geometry.

## Properties
Its space group is Amm2 (38). The calculation puts the raw total energy at -3.210 eV/atom. As for the formation energy without anion corrections: -0.301 eV per atom. For the volume, the calculation gives 122.2 Å³/cell. Its density of states at the Fermi level is 3.01 states/eV/cell.

Unit cell a=5.989 b=5.989 c=4.635 alpha=90.01 beta=90.01 gamma=47.31
Positions (direct):
1 Si 0.321 0.321 0.125
2 Sr 0.018 0.018 0.125
3 Sr 0.733 0.733 0.625
4 Ag 0.428 0.428 0.625